# GGA-PBE Li3PmSm2Te6, optimized geometry
# * formation energy without anion corrections: -1.30 eV/atom
# * E_tot: -4.5306 eV per atom
# * magnetization: 0.00 μB per formula unit
data_Li3PmSm2Te6
_chemical_formula_sum 'Li6 Pm2 Sm4 Te12'
_space_group_name_H-M_alt 'C 1 2/m 1'
_space_group_IT_number 12
_space_group_name_Hall '-C 2y'
_cell_length_a 7.661
_cell_length_b 13.270
_cell_length_c 7.530
_cell_angle_alpha 90.00
_cell_angle_beta 109.82
_cell_angle_gamma 90.00
loop_
_atom_site_label
_atom_site_fract_x
_atom_site_fract_y
_atom_site_fract_z
_atom_site_occupancy
Li1 0.000 0.000 0.000 1
Li2 0.000 0.333 0.000 1
Pm1 0.000 0.500 0.500 1
Sm1 0.000 0.167 0.500 1
Te1 0.246 0.167 0.240 1
Te2 0.248 0.500 0.240 1

---

# GGA-PBE LiPmSmTl, optimized geometry
# * E_form: -0.20 eV/atom
# * E_tot: -3.6392 eV per atom
# * magnetization: 0.00 μB per formula unit
data_LiPmSmTl
_chemical_formula_sum 'Li4 Pm4 Sm4 Tl4'
_space_group_name_H-M_alt 'F -4 3 m'
_space_group_IT_number 216
_space_group_name_Hall 'F -4 2 3'
_cell_length_a 7.643
_cell_length_b 7.643
_cell_length_c 7.643
_cell_angle_alpha 90.00
_cell_angle_beta 90.00
_cell_angle_gamma 90.00
loop_
_atom_site_label
_atom_site_fract_x
_atom_site_fract_y
_atom_site_fract_z
_atom_site_occupancy
Li1 0.000 0.000 0.000 1
Pm1 0.250 0.250 0.750 1
Sm1 0.250 0.250 0.250 1
Tl1 0.000 0.000 0.500 1

---

# GGA-PBE LiPm2SmTl4, optimized geometry
# * E_form: -0.35 eV/atom
# * E_tot: -3.5531 eV per atom
# * magnetization: 0.00 μB per formula unit
data_LiPm2SmTl4
_chemical_formula_sum 'Li3 Pm6 Sm3 Tl12'
_space_group_name_H-M_alt 'R -3 m'
_space_group_IT_number 166
_space_group_name_Hall '-R 3 2"'
_cell_length_a 5.3208
_cell_length_b 5.3208
_cell_length_c 27.0949
_cell_angle_alpha 90.00
_cell_angle_beta 90.00
_cell_angle_gamma 120.00
loop_
_atom_site_label
_atom_site_fract_x
_atom_site_fract_y
_atom_site_fract_z
_atom_site_occupancy
Li1 0.0000 0.0000 0.0000 1
Pm1 0.0000 0.0000 0.2561 1
Sm1 0.0000 0.0000 0.5000 1
Tl1 0.0000 0.0000 0.1237 1
Tl2 0.0000 0.0000 0.3735 1

---

# GGA-PBE Li2PmSm2Tl2, optimized geometry
# * E_form: -0.20 eV/atom
# * E_tot: -3.4463 eV per atom
# * magnetization: 0.00 μB per formula unit
data_Li2PmSm2Tl2
_chemical_formula_sum 'Li6 Pm3 Sm6 Tl6'
_space_group_name_H-M_alt 'R -3 m'
_space_group_IT_number 166
_space_group_name_Hall '-R 3 2"'
_cell_length_a 4.9033
_cell_length_b 4.9033
_cell_length_c 27.1606
_cell_angle_alpha 90.00
_cell_angle_beta 90.00
_cell_angle_gamma 120.00
loop_
_atom_site_label
_atom_site_fract_x
_atom_site_fract_y
_atom_site_fract_z
_atom_site_occupancy
Li1 0.0000 0.0000 0.1034 1
Pm1 0.0000 0.0000 0.5000 1
Sm1 0.0000 0.0000 0.3730 1
Tl1 0.0000 0.0000 0.2373 1

---

# GGA-PBE LiPmSmTm, optimized geometry
# * E_form: 0.15 eV/atom
# * E_tot: -3.8109 eV per atom
# * magnetization: 0.00 μB per formula unit
data_LiPmSmTm
_chemical_formula_sum 'Li4 Pm4 Sm4 Tm4'
_space_group_name_H-M_alt 'F -4 3 m'
_space_group_IT_number 216
_space_group_name_Hall 'F -4 2 3'
_cell_length_a 7.819
_cell_length_b 7.819
_cell_length_c 7.819
_cell_angle_alpha 90.00
_cell_angle_beta 90.00
_cell_angle_gamma 90.00
loop_
_atom_site_label
_atom_site_fract_x
_atom_site_fract_y
_atom_site_fract_z
_atom_site_occupancy
Li1 0.000 0.000 0.000 1
Pm1 0.250 0.250 0.250 1
Sm1 0.250 0.250 0.750 1
Tm1 0.000 0.000 0.500 1

---

# GGA-PBE LiPmSmY, optimized geometry
# * E_form: 0.20 eV/atom
# * E_tot: -4.2652 eV per atom
# * magnetization: 0.00 μB per formula unit
data_LiPmSmY
_chemical_formula_sum 'Li4 Pm4 Sm4 Y4'
_space_group_name_H-M_alt 'F -4 3 m'
_space_group_IT_number 216
_space_group_name_Hall 'F -4 2 3'
_cell_length_a 7.893
_cell_length_b 7.893
_cell_length_c 7.893
_cell_angle_alpha 90.00
_cell_angle_beta 90.00
_cell_angle_gamma 90.00
loop_
_atom_site_label
_atom_site_fract_x
_atom_site_fract_y
_atom_site_fract_z
_atom_site_occupancy
Li1 0.000 0.000 0.000 1
Pm1 0.000 0.000 0.500 1
Sm1 0.250 0.250 0.750 1
Y1 0.250 0.250 0.250 1

---

# GGA-PBE LiPm2Sn2, optimized geometry
# * E_form: -0.67 eV/atom
# * E_tot: -4.5538 eV per atom
# * magnetization: 0.45 μB per formula unit
# * E above lowest polymorph: 0.000 eV/atom
data_LiPm2Sn2
_chemical_formula_sum 'Li4 Pm8 Sn8'
_space_group_name_H-M_alt 'C 1 2/m 1'
_space_group_IT_number 12
_space_group_name_Hall '-C 2y'
_cell_length_a 11.548
_cell_length_b 4.676
_cell_length_c 11.160
_cell_angle_alpha 90.00
_cell_angle_beta 117.74
_cell_angle_gamma 90.00
loop_
_atom_site_label
_atom_site_fract_x
_atom_site_fract_y
_atom_site_fract_z
_atom_site_occupancy
Li1 0.222 0.000 0.359 1
Pm1 0.014 0.500 0.334 1
Pm2 0.184 0.500 0.096 1
Sn1 0.021 0.000 0.878 1
Sn2 0.145 0.000 0.578 1

---

# GGA-PBE Li3Pm2Sn2, optimized geometry
# * E_form: -0.49 eV/atom
# * E_tot: -3.8119 eV per atom
# * magnetization: 0.00 μB per formula unit
data_Li3Pm2Sn2
_chemical_formula_sum 'Li6 Pm4 Sn4'
_space_group_name_H-M_alt 'C 1 2/m 1'
_space_group_IT_number 12
_space_group_name_Hall '-C 2y'
_cell_length_a 10.797
_cell_length_b 4.869
_cell_length_c 6.586
_cell_angle_alpha 90.00
_cell_angle_beta 103.23
_cell_angle_gamma 90.00
loop_
_atom_site_label
_atom_site_fract_x
_atom_site_fract_y
_atom_site_fract_z
_atom_site_occupancy
Li1 0.000 0.000 0.000 1
Li2 0.109 0.000 0.430 1
Pm1 0.148 0.500 0.761 1
Sn1 0.154 0.500 0.251 1

---

Which value of E_tot does entry 7 give? -4.5538 eV per atom

---

Repeat the sixth record exactly.
# GGA-PBE LiPmSmY, optimized geometry
# * E_form: 0.20 eV/atom
# * E_tot: -4.2652 eV per atom
# * magnetization: 0.00 μB per formula unit
data_LiPmSmY
_chemical_formula_sum 'Li4 Pm4 Sm4 Y4'
_space_group_name_H-M_alt 'F -4 3 m'
_space_group_IT_number 216
_space_group_name_Hall 'F -4 2 3'
_cell_length_a 7.893
_cell_length_b 7.893
_cell_length_c 7.893
_cell_angle_alpha 90.00
_cell_angle_beta 90.00
_cell_angle_gamma 90.00
loop_
_atom_site_label
_atom_site_fract_x
_atom_site_fract_y
_atom_site_fract_z
_atom_site_occupancy
Li1 0.000 0.000 0.000 1
Pm1 0.000 0.000 0.500 1
Sm1 0.250 0.250 0.750 1
Y1 0.250 0.250 0.250 1

---

Number 6 is which compound? LiPmSmY

---

The highest E_tot belongs to which entry? Li2PmSm2Tl2